# Ti3BeO6 (GGA-PBE, optimized geometry)
data_Ti3BeO6
_chemical_formula_sum 'Ti6 Be2 O12'
_cell_length_a 6.292
_cell_length_b 6.292
_cell_length_c 4.796
_cell_angle_alpha 90.00
_cell_angle_beta 90.00
_cell_angle_gamma 101.69
_symmetry_space_group_name_H-M 'P 1'
_symmetry_Int_Tables_number 1
loop_
_symmetry_equiv_pos_as_xyz
'x,y,z'
loop_
_atom_site_label
_atom_site_fract_x
_atom_site_fract_y
_atom_site_fract_z
Ti1 0.100 0.900 0.500
Ti2 0.219 0.424 0.583
Ti3 0.424 0.219 0.083
Ti4 0.576 0.781 0.583
Ti5 0.781 0.576 0.083
Ti6 0.900 0.100 0.000
Be1 0.297 0.703 0.111
Be2 0.703 0.297 0.611
O1 0.072 0.614 0.289
O2 0.129 0.193 0.291
O3 0.193 0.129 0.791
O4 0.280 0.720 0.775
O5 0.386 0.928 0.289
O6 0.455 0.545 0.242
O7 0.545 0.455 0.742
O8 0.614 0.072 0.789
O9 0.720 0.280 0.275
O10 0.807 0.871 0.291
O11 0.871 0.807 0.791
O12 0.928 0.386 0.789
# Energy ... -170.78 eV for the cell shown
# Formation energy without anion corrections ... -2.8231 eV/atom


# TiBe2O (GGA-PBE, optimized geometry)
data_TiBe2O
_chemical_formula_sum 'Ti2 Be4 O2'
_cell_length_a 5.086
_cell_length_b 5.086
_cell_length_c 5.086
_cell_angle_alpha 118.73
_cell_angle_beta 118.73
_cell_angle_gamma 92.21
_symmetry_space_group_name_H-M 'P 1'
_symmetry_Int_Tables_number 1
loop_
_symmetry_equiv_pos_as_xyz
'x,y,z'
loop_
_atom_site_label
_atom_site_fract_x
_atom_site_fract_y
_atom_site_fract_z
Ti1 0.000 0.000 0.000
Ti2 0.750 0.250 0.500
Be1 0.283 0.625 0.158
Be2 0.375 0.533 0.658
Be3 0.467 0.125 0.842
Be4 0.875 0.717 0.342
O1 0.250 0.750 0.500
O2 0.500 0.500 0.000
# Energy ... -44.46 eV for the cell shown
# Formation energy without anion corrections ... -0.4809 eV/atom


| no. | calculated volume (Å³/atom) |
| --- | --- |
| 1 | 9.29 |
| 2 | 11.84 |